DFT (PBE with a Hubbard U) results for an optimized crystal structure of Sm4MgV4O12.

Cell and atoms, written as POSCAR:
```
Sm4MgV4O12
1.0
5.8543 0.0000 0.0000
0.6267 5.8785 0.0000
0.1836 0.0679 7.7989
Sm Mg V O
4 1 4 12
direct
0.0000 0.0000 0.0000
0.0214 0.8762 0.4583
0.4793 0.4942 0.0184
0.6524 0.4360 0.5178
0.2245 0.2337 0.5446
0.0413 0.4618 0.2505
0.0568 0.4988 0.7839
0.5282 0.9824 0.2578
0.5315 0.9566 0.7709
0.0219 0.5193 0.5171
0.1144 0.3489 0.0133
0.2296 0.7862 0.2061
0.2598 0.7687 0.8456
0.3730 0.2983 0.3163
0.4079 0.3058 0.7325
0.4229 0.9220 0.5199
0.5952 0.0692 0.0102
0.7227 0.6648 0.7998
0.7249 0.6832 0.2553
0.8375 0.1659 0.3040
0.9185 0.1480 0.6817
```

Results
Mass density = 6.320 g/cm³
Distance to the lowest polymorph of the same formula = 70.0 meV/atom
Final energy = -7.74 eV per atom